A plane-wave DFT calculation with PBE was carried out for TaHg3Pt after structural relaxation.

Relative energy among the computed polymorphs in meV per atom: 0
Energy of formation in eV/atom: 1.142

Structure (extended XYZ):
```
5
Lattice="5.1655 0.0000 0.0000 0.0000 5.1655 0.0000 0.0000 0.0000 5.1655" Properties=species:S:1:pos:R:3 pbc="T T T"
Ta 0.0000 0.0000 0.0000
Hg 0.0000 2.5828 2.5828
Hg 2.5828 0.0000 2.5828
Hg 2.5828 2.5828 0.0000
Pt 2.5828 2.5828 2.5828
```